No. 1
The following is a PBE calculation of a geometry-optimized Y2SiN structure, from the Alexandria database.

Cell lengths 6.7337, 6.7337, 6.7337 Å; angles 90.00, 90.00, 90.00 degrees
Space group Fm-3m (No. 225)
Asymmetric unit:
Y  0.2500  0.2500  0.2500 [8 per cell]
Si  0.0000  0.0000  0.0000 [4 per cell]
N  0.0000  0.0000  0.5000 [4 per cell]

ΔE_f (raw): -83 meV/atom
Uncorrected energy: -6.752 eV/atom
Energy relative to the lowest polymorph listed for this composition: 980 meV/atom
Spin magnetization: 0.0 μB/cell

=====

No. 2
The following is a PBE calculation of a geometry-optimized In2CoRh structure, from the Alexandria database.

Cell lengths 10.0406, 3.0372, 4.6266 Å; angles 90.00, 108.54, 90.00 degrees
Space group Cm (No. 8)
Asymmetric unit:
In  0.0000  0.0000  0.0000 [2 per cell]
In  0.2196  0.0000  0.6208 [2 per cell]
Co  0.2482  0.5000  0.1303 [2 per cell]
Rh  0.4668  0.0000  0.4796 [2 per cell]

Uncorrected energy: -5.017 eV/atom
Spin magnetization: 2.6 μB/cell
Energy relative to the elements: -0.034 eV per atom

=====

No. 3
The following is a PBE calculation of a geometry-optimized NdEr2Ga structure, from the Alexandria database.

Cell lengths 3.5213, 3.5213, 8.9307 Å; angles 90.00, 90.00, 90.00 degrees
Space group P4/mmm (No. 123)
Asymmetric unit:
Nd  0.0000  0.0000  0.0000 [1 per cell]
Er  0.5000  0.5000  0.2956 [2 per cell]
Ga  0.0000  0.0000  0.5000 [1 per cell]

Uncorrected energy: -4.520 eV/atom
Energy relative to the lowest polymorph listed for this composition: 0 meV/atom
Spin magnetization: 0.0 μB/cell
Energy relative to the elements: -0.290 eV per atom